Computed, not measured: La3TbNd2Te6 after structural relaxation at the GGA-PBE level of DFT.

Structure (POSCAR):
```
La3TbNd2Te6
1.0
4.508 0.000 0.000
0.000 9.061 0.349
-2.254 -2.583 9.486
Te La Nd Tb
6 3 2 1
direct
0.662 0.084 0.323 Te
0.338 0.916 0.677 Te
0.000 0.760 0.000 Te
0.333 0.420 0.666 Te
0.000 0.240 0.000 Te
0.667 0.580 0.334 Te
0.830 0.166 0.661 La
0.500 0.500 0.000 La
0.170 0.834 0.339 La
0.168 0.335 0.335 Nd
0.832 0.665 0.665 Nd
0.500 0.000 0.000 Tb
```

The formation energy (no corrections) is -17.930 eV/f.u. Its energy is -65.7 eV per cell.

Computed, not measured: EuGdTmMg after structural relaxation at the GGA-PBE level of DFT.

Structure (POSCAR):
```
EuGdTmMg
1.0
-2.209 1.859 -4.787
-4.155 -2.829 -2.446
-5.173 2.120 -0.054
Tm Eu Mg Gd
1 1 1 1
direct
0.500 0.500 0.500 Tm
0.750 0.750 0.750 Eu
0.000 0.000 0.000 Mg
0.250 0.250 0.250 Gd
```

Its energy is -30.2 eV per cell. Its calculated formation energy is 0.06 eV per atom.

Computed, not measured: La8TlIr3I4 after structural relaxation at the GGA-PBE level of DFT.

Structure (POSCAR):
```
La8TlIr3I4
1.0
-3.743 7.393 -2.789
-1.907 -4.159 -8.466
-3.028 -4.001 7.161
La Ir I Tl
8 3 4 1
direct
0.270 0.309 0.539 La
0.757 0.311 0.515 La
0.297 0.311 0.054 La
0.243 0.689 0.485 La
0.703 0.689 0.946 La
0.243 0.689 0.946 La
0.730 0.691 0.461 La
0.757 0.311 0.054 La
0.500 0.500 0.500 Ir
0.500 0.500 0.000 Ir
0.000 0.500 0.500 Ir
0.000 0.000 0.000 I
0.500 0.000 0.000 I
0.000 0.000 0.500 I
0.500 0.000 0.500 I
0.000 0.500 0.000 Tl
```

The formation energy (no corrections) is -15.496 eV/f.u. Its energy is -90.1 eV per cell.

Computed, not measured: KTiOF2 after structural relaxation at the GGA-PBE level of DFT.

Structure (POSCAR):
```
KTiOF2
1.0
-1.714 -3.780 -0.802
3.859 -1.720 -0.142
-0.182 -0.719 3.780
F O K Ti
2 1 1 1
direct
0.500 0.000 0.000 F
0.000 0.500 0.000 F
0.000 0.000 0.500 O
0.500 0.500 0.500 K
0.000 0.000 0.000 Ti
```

The formation energy (no corrections) is -14.435 eV/f.u. Its energy is -32.1 eV per cell.

Computed, not measured: Y3MgZr after structural relaxation at the GGA-PBE level of DFT.

Structure (POSCAR):
```
Y3MgZr
1.0
5.551 0.000 0.000
0.000 5.551 0.000
0.000 0.000 5.551
Mg Y Zr
1 3 1
direct
0.500 0.500 0.500 Mg
0.000 0.500 0.000 Y
0.500 0.000 0.000 Y
0.000 0.000 0.500 Y
0.000 0.000 0.000 Zr
```

Its energy is -26.5 eV per cell. Its calculated formation energy is 0.61 eV per atom.

Computed, not measured: LiLa2Pm after structural relaxation at the GGA-PBE level of DFT.

Structure (POSCAR):
```
LiLa2Pm
1.0
3.612 0.000 0.000
-1.806 3.128 0.000
0.000 0.000 12.196
La Pm Li
2 1 1
direct
0.667 0.333 0.251 La
0.333 0.667 0.762 La
0.000 0.000 0.008 Pm
0.667 0.333 0.524 Li
```

Its energy is -16.0 eV per cell. Its calculated formation energy is 0.12 eV per atom.